! Sc5Sb4O, optimized geometry, DFT GGA-PBE; values from VASP
&SYSTEM
  ibrav = 0, nat = 10, ntyp = 3
/
ATOMIC_SPECIES
Sc 44.96 Sc.upf
Sb 121.76 Sb.upf
O 16.00 O.upf
CELL_PARAMETERS angstrom
-2.242 -4.162 -3.486
4.145 -5.414 -1.152
-3.519 -4.981 3.260
ATOMIC_POSITIONS crystal
Sc 0.906 0.360 0.838
Sc 0.266 0.838 0.640
Sc 0.744 0.162 0.360
Sc 0.104 0.640 0.162
Sc 0.407 0.000 0.000
Sb 0.422 0.391 0.777
Sb 0.813 0.777 0.609
Sb 0.199 0.223 0.391
Sb 0.590 0.609 0.223
O 0.061 0.000 0.000
! E_tot in eV per atom: -6.48
! ΔE_f (raw) in meV/atom: -1173
! Calculated volume in Å³/cell: 230
! Size of the total moment in μB/f.u.: 0.00